{"formula": "MgVNi2O5", "functional": "PBE with a Hubbard U", "state": "optimized geometry", "energy_ev_per_atom": -5.968, "lattice_angstrom": [[-2.829, -0.222, -1.044], [0.685, -4.895, 3.562], [-3.535, 5.611, 8.391]], "species": ["V", "V", "Mg", "Mg", "O", "O", "O", "O", "O", "O", "O", "O", "O", "O", "Ni", "Ni", "Ni", "Ni"], "frac_coords": [[0.264, 0.527, 0.029], [0.736, 0.473, 0.529], [0.560, 0.120, 0.937], [0.440, 0.880, 0.437], [0.766, 0.532, 0.168], [0.234, 0.468, 0.668], [0.478, 0.956, 0.777], [0.103, 0.207, 0.052], [0.415, 0.830, 0.038], [0.255, 0.510, 0.410], [0.522, 0.044, 0.277], [0.585, 0.170, 0.538], [0.897, 0.793, 0.552], [0.745, 0.490, 0.910], [0.952, 0.904, 0.160], [0.159, 0.318, 0.252], [0.841, 0.682, 0.752], [0.048, 0.096, 0.660]]}